one.
NpTlS3, optimized geometry, DFT PBE-GGA; volume = 285.44 Å³ per cell; crystal system = trigonal
1.0
3.498 2.020 6.733
-3.498 2.020 6.733
0.000 -4.040 6.733
Np Tl S
2 2 6
Cartesian
0.000 0.000 3.326
0.000 0.000 16.872
0.000 0.000 7.549
0.000 0.000 12.649
0.000 -2.000 5.016
-1.732 1.000 5.016
-1.732 -1.000 15.182
1.732 1.000 5.016
1.732 -1.000 15.182
0.000 2.000 15.182



two.
NpTlS3, optimized geometry, DFT PBE-GGA; volume = 515.78 Å³ per cell; crystal system = monoclinic
1.0
7.198 -5.111 0.000
7.198 5.111 0.000
-0.014 0.000 7.010
Np Tl S
4 4 12
Cartesian
3.585 0.640 0.880
3.578 -0.640 4.385
10.804 0.640 2.625
10.797 -0.640 6.129
7.195 3.493 1.752
7.188 1.611 5.257
7.195 -1.611 1.752
7.188 -3.493 5.257
3.553 1.915 5.528
1.808 0.648 2.853
1.801 -0.648 6.358
5.359 0.618 2.871
5.352 -0.618 6.376
3.560 -1.915 2.024
10.822 1.915 4.986
9.030 0.618 0.634
9.023 -0.618 4.139
12.581 0.648 0.652
12.574 -0.648 4.157
10.829 -1.915 1.481



three.
NpTlS3, optimized geometry, DFT PBE-GGA; volume = 137.74 Å³ per cell; crystal system = cubic
1.0
5.164 0.000 0.000
0.000 5.164 0.000
0.000 0.000 5.164
Np Tl S
1 1 3
Cartesian
0.000 0.000 0.000
2.582 2.582 2.582
0.000 0.000 2.582
0.000 2.582 0.000
2.582 0.000 0.000



Of them, one has the lowest stability.